--- a ---
A geometry-optimized PrSm2Ge structure. Source: Alexandria, functional PBE.

Output
mass density: 7.4 g/cm³

Structure (CIF):
```
data_PrSm2Ge
_symmetry_space_group_name_H-M 'P 4/m m m'
_symmetry_Int_Tables_number 123
_symmetry_space_group_name_Hall '-P 4 2'
_cell_length_a 3.934
_cell_length_b 3.934
_cell_length_c 7.425
_cell_angle_alpha 90.00
_cell_angle_beta 90.00
_cell_angle_gamma 90.00
loop_
_atom_site_label
_atom_site_type_symbol
_atom_site_fract_x
_atom_site_fract_y
_atom_site_fract_z
Pr1 Pr 0.000 0.000 0.000
Sm1 Sm 0.500 0.500 0.301
Ge1 Ge 0.000 0.000 0.500
```

=====

--- b ---
A geometry-optimized PrSm2Ge structure. Source: Alexandria, functional PBE.

Output
mass density: 7.1 g/cm³

Structure (CIF):
```
data_PrSm2Ge
_symmetry_space_group_name_H-M 'P n m a'
_symmetry_Int_Tables_number 62
_symmetry_space_group_name_Hall '-P 2ac 2n'
_cell_length_a 7.924
_cell_length_b 9.385
_cell_length_c 6.479
_cell_angle_alpha 90.00
_cell_angle_beta 90.00
_cell_angle_gamma 90.00
loop_
_atom_site_label
_atom_site_type_symbol
_atom_site_fract_x
_atom_site_fract_y
_atom_site_fract_z
Pr1 Pr 0.029 0.250 0.132
Sm1 Sm 0.188 0.054 0.629
Ge1 Ge 0.118 0.750 0.419
```

=====

--- c ---
A geometry-optimized PrSm2Ge structure. Source: Alexandria, functional PBE.

Output
mass density: 6.4 g/cm³

Structure (CIF):
```
data_PrSm2Ge
_symmetry_space_group_name_H-M 'R 3 m'
_symmetry_Int_Tables_number 160
_symmetry_space_group_name_Hall 'R 3 -2"'
_cell_length_a 4.0403
_cell_length_b 4.0403
_cell_length_c 28.1814
_cell_angle_alpha 90.00
_cell_angle_beta 90.00
_cell_angle_gamma 120.00
loop_
_atom_site_label
_atom_site_type_symbol
_atom_site_fract_x
_atom_site_fract_y
_atom_site_fract_z
Pr1 Pr 0.0000 0.0000 0.0000
Sm1 Sm 0.0000 0.0000 0.2294
Sm2 Sm 0.0000 0.0000 0.4407
Ge1 Ge 0.0000 0.0000 0.8356
```

=====

--- d ---
A geometry-optimized PrSm2Ge structure. Source: Alexandria, functional PBE.

Output
mass density: 7.8 g/cm³

Structure (CIF):
```
data_PrSm2Ge
_symmetry_space_group_name_H-M 'P 4/m m m'
_symmetry_Int_Tables_number 123
_symmetry_space_group_name_Hall '-P 4 2'
_cell_length_a 4.803
_cell_length_b 4.803
_cell_length_c 4.762
_cell_angle_alpha 90.00
_cell_angle_beta 90.00
_cell_angle_gamma 90.00
loop_
_atom_site_label
_atom_site_type_symbol
_atom_site_fract_x
_atom_site_fract_y
_atom_site_fract_z
Pr1 Pr 0.000 0.000 0.000
Sm1 Sm 0.000 0.500 0.500
Ge1 Ge 0.500 0.500 0.000
```

=====

Which of them is most stable, and which least? Most stable: b; least stable: c.